Record 1
# Sr6TlNi2, optimized geometry, DFT PBE-GGA
data_Sr6TlNi2
_chemical_formula_sum 'Sr12 Tl2 Ni4'
_cell_length_a 9.4023
_cell_length_b 9.4023
_cell_length_c 9.4023
_cell_angle_alpha 105.28
_cell_angle_beta 112.66
_cell_angle_gamma 110.57
_symmetry_space_group_name_H-M 'P 1'
_symmetry_Int_Tables_number 1
_symmetry_space_group_name_Hall 'P 1'
loop_
_atom_site_label
_atom_site_type_symbol
_atom_site_fract_x
_atom_site_fract_y
_atom_site_fract_z
Ni1 Ni 0.5000 0.1033 0.6033
Ni2 Ni 0.5000 0.8967 0.3967
Ni3 Ni 0.3892 0.3892 0.0000
Ni4 Ni 0.6108 0.6108 0.0000
Sr1 Sr 0.2015 0.9730 0.7715
Sr2 Sr 0.6930 0.3240 0.0170
Sr3 Sr 0.3070 0.6760 0.9830
Sr4 Sr 0.6930 0.6760 0.3690
Sr5 Sr 0.4750 0.1811 0.2939
Sr6 Sr 0.1128 0.8189 0.2939
Sr7 Sr 0.7985 0.5700 0.7715
Sr8 Sr 0.7985 0.0270 0.2285
Sr9 Sr 0.5250 0.8189 0.7061
Sr10 Sr 0.2015 0.4300 0.2285
Sr11 Sr 0.3070 0.3240 0.6310
Sr12 Sr 0.8872 0.1811 0.7061
Tl1 Tl 0.0000 0.5000 0.5000
Tl2 Tl 0.0000 0.0000 0.0000
# - M_tot: 0.01 μB per formula unit
# - ΔH_f (0 K): -96.9 meV per atom

***

Record 2
# Sr2TlNi, optimized geometry, DFT PBE-GGA
data_Sr2TlNi
_chemical_formula_sum 'Sr2 Tl1 Ni1'
_cell_length_a 6.2460
_cell_length_b 6.2460
_cell_length_c 6.2460
_cell_angle_alpha 135.64
_cell_angle_beta 135.64
_cell_angle_gamma 64.54
_symmetry_space_group_name_H-M 'P 1'
_symmetry_Int_Tables_number 1
_symmetry_space_group_name_Hall 'P 1'
loop_
_atom_site_label
_atom_site_type_symbol
_atom_site_fract_x
_atom_site_fract_y
_atom_site_fract_z
Sr1 Sr 0.2500 0.7500 0.5000
Sr2 Sr 0.0000 0.0000 0.0000
Ni1 Ni 0.7500 0.2500 0.5000
Tl1 Tl 0.5000 0.5000 0.0000
# - M_tot: 0.00 μB per formula unit
# - ΔH_f (0 K): 121.3 meV per atom

***

Record 3
# SrTlNi2, optimized geometry, DFT PBE-GGA
data_SrTlNi2
_chemical_formula_sum 'Sr1 Tl1 Ni2'
_cell_length_a 3.5150
_cell_length_b 3.5301
_cell_length_c 7.5137
_cell_angle_alpha 62.01
_cell_angle_beta 90.00
_cell_angle_gamma 90.00
_symmetry_space_group_name_H-M 'P 1'
_symmetry_Int_Tables_number 1
_symmetry_space_group_name_Hall 'P 1'
loop_
_atom_site_label
_atom_site_type_symbol
_atom_site_fract_x
_atom_site_fract_y
_atom_site_fract_z
Ni1 Ni 0.0000 0.4371 0.5629
Ni2 Ni 0.0000 0.0629 0.9371
Sr1 Sr 0.5000 0.2500 0.2500
Tl1 Tl 0.5000 0.7500 0.7500
# - M_tot: 0.00 μB per formula unit
# - ΔH_f (0 K): 210.3 meV per atom

***

Record 4
# SrTlNi2, optimized geometry, DFT PBE-GGA
data_SrTlNi2
_chemical_formula_sum 'Sr1 Tl1 Ni2'
_cell_length_a 4.8069
_cell_length_b 4.8069
_cell_length_c 4.8069
_cell_angle_alpha 60.00
_cell_angle_beta 60.00
_cell_angle_gamma 60.00
_symmetry_space_group_name_H-M 'P 1'
_symmetry_Int_Tables_number 1
_symmetry_space_group_name_Hall 'P 1'
loop_
_atom_site_label
_atom_site_type_symbol
_atom_site_fract_x
_atom_site_fract_y
_atom_site_fract_z
Ni1 Ni 0.7500 0.7500 0.7500
Ni2 Ni 0.2500 0.2500 0.2500
Sr1 Sr 0.0000 0.0000 0.0000
Tl1 Tl 0.5000 0.5000 0.5000
# - M_tot: 0.00 μB per formula unit
# - ΔH_f (0 K): 209.1 meV per atom

***

Record 5
# Sr4TlNi, optimized geometry, DFT PBE-GGA
data_Sr4TlNi
_chemical_formula_sum 'Sr4 Tl1 Ni1'
_cell_length_a 7.0060
_cell_length_b 7.0060
_cell_length_c 7.0060
_cell_angle_alpha 60.00
_cell_angle_beta 60.00
_cell_angle_gamma 60.00
_symmetry_space_group_name_H-M 'P 1'
_symmetry_Int_Tables_number 1
_symmetry_space_group_name_Hall 'P 1'
loop_
_atom_site_label
_atom_site_type_symbol
_atom_site_fract_x
_atom_site_fract_y
_atom_site_fract_z
Sr1 Sr 0.3748 0.3748 0.8756
Sr2 Sr 0.8756 0.3748 0.3748
Sr3 Sr 0.3748 0.3748 0.3748
Sr4 Sr 0.3748 0.8756 0.3748
Tl1 Tl 0.7500 0.7500 0.7500
Ni1 Ni 0.0000 0.0000 0.0000
# - M_tot: 0.33 μB per formula unit
# - ΔH_f (0 K): 712.4 meV per atom

***

Record 6
# SrTl2Ni, optimized geometry, DFT PBE-GGA
data_SrTl2Ni
_chemical_formula_sum 'Sr1 Tl2 Ni1'
_cell_length_a 3.6989
_cell_length_b 3.6989
_cell_length_c 7.6753
_cell_angle_alpha 90.00
_cell_angle_beta 90.00
_cell_angle_gamma 90.00
_symmetry_space_group_name_H-M 'P 1'
_symmetry_Int_Tables_number 1
_symmetry_space_group_name_Hall 'P 1'
loop_
_atom_site_label
_atom_site_type_symbol
_atom_site_fract_x
_atom_site_fract_y
_atom_site_fract_z
Tl1 Tl 0.0000 0.0000 0.0385
Tl2 Tl 0.5000 0.5000 0.3048
Ni1 Ni 0.0000 0.0000 0.4383
Sr1 Sr 0.5000 0.5000 0.7184
# - M_tot: 0.00 μB per formula unit
# - ΔH_f (0 K): 63.6 meV per atom

***

Record 7
# Sr6Tl2Ni, optimized geometry, DFT PBE-GGA
data_Sr6Tl2Ni
_chemical_formula_sum 'Sr12 Tl4 Ni2'
_cell_length_a 7.3365
_cell_length_b 9.3347
_cell_length_c 10.5952
_cell_angle_alpha 90.00
_cell_angle_beta 90.00
_cell_angle_gamma 99.20
_symmetry_space_group_name_H-M 'P 1'
_symmetry_Int_Tables_number 1
_symmetry_space_group_name_Hall 'P 1'
loop_
_atom_site_label
_atom_site_type_symbol
_atom_site_fract_x
_atom_site_fract_y
_atom_site_fract_z
Tl1 Tl 0.8875 0.6825 0.4158
Tl2 Tl 0.1125 0.3175 0.5842
Tl3 Tl 0.6125 0.8175 0.9158
Tl4 Tl 0.3875 0.1825 0.0842
Ni1 Ni 0.0000 0.5000 0.0000
Ni2 Ni 0.5000 0.0000 0.5000
Sr1 Sr 0.3289 0.4643 0.8671
Sr2 Sr 0.1389 0.4336 0.2550
Sr3 Sr 0.6711 0.5357 0.1329
Sr4 Sr 0.1382 0.8092 0.0398
Sr5 Sr 0.8618 0.1908 0.9602
Sr6 Sr 0.8611 0.5664 0.7450
Sr7 Sr 0.8289 0.9643 0.6329
Sr8 Sr 0.6389 0.9336 0.2450
Sr9 Sr 0.6382 0.3092 0.4602
Sr10 Sr 0.3618 0.6908 0.5398
Sr11 Sr 0.1711 0.0357 0.3671
Sr12 Sr 0.3611 0.0664 0.7550
# - M_tot: 0.00 μB per formula unit
# - ΔH_f (0 K): -168.9 meV per atom

***

Record 8
# SrTl2Ni, optimized geometry, DFT PBE-GGA
data_SrTl2Ni
_chemical_formula_sum 'Sr1 Tl2 Ni1'
_cell_length_a 4.6169
_cell_length_b 4.6169
_cell_length_c 6.4747
_cell_angle_alpha 69.03
_cell_angle_beta 69.03
_cell_angle_gamma 59.99
_symmetry_space_group_name_H-M 'P 1'
_symmetry_Int_Tables_number 1
_symmetry_space_group_name_Hall 'P 1'
loop_
_atom_site_label
_atom_site_type_symbol
_atom_site_fract_x
_atom_site_fract_y
_atom_site_fract_z
Ni1 Ni 0.4288 0.4288 0.7141
Tl1 Tl 0.7948 0.7948 0.6159
Tl2 Tl 0.0319 0.0319 0.9042
Sr1 Sr 0.2445 0.2445 0.2658
# - M_tot: 0.00 μB per formula unit
# - ΔH_f (0 K): -85.7 meV per atom

***

Record 9
# SrTl2Ni, optimized geometry, DFT PBE-GGA
data_SrTl2Ni
_chemical_formula_sum 'Sr1 Tl2 Ni1'
_cell_length_a 4.5397
_cell_length_b 4.5397
_cell_length_c 5.0704
_cell_angle_alpha 90.00
_cell_angle_beta 90.00
_cell_angle_gamma 90.00
_symmetry_space_group_name_H-M 'P 1'
_symmetry_Int_Tables_number 1
_symmetry_space_group_name_Hall 'P 1'
loop_
_atom_site_label
_atom_site_type_symbol
_atom_site_fract_x
_atom_site_fract_y
_atom_site_fract_z
Ni1 Ni 0.5000 0.0000 0.5000
Tl1 Tl 0.5000 0.5000 0.0000
Tl2 Tl 0.0000 0.0000 0.0000
Sr1 Sr 0.0000 0.5000 0.5000
# - M_tot: 0.00 μB per formula unit
# - ΔH_f (0 K): 107.9 meV per atom

***

Record 10
# SrTl2Ni, optimized geometry, DFT PBE-GGA
data_SrTl2Ni
_chemical_formula_sum 'Sr2 Tl4 Ni2'
_cell_length_a 5.5497
_cell_length_b 5.5497
_cell_length_c 9.3590
_cell_angle_alpha 72.75
_cell_angle_beta 72.75
_cell_angle_gamma 90.00
_symmetry_space_group_name_H-M 'P 1'
_symmetry_Int_Tables_number 1
_symmetry_space_group_name_Hall 'P 1'
loop_
_atom_site_label
_atom_site_type_symbol
_atom_site_fract_x
_atom_site_fract_y
_atom_site_fract_z
Sr1 Sr 0.0000 0.0000 0.0000
Sr2 Sr 0.7500 0.2500 0.5000
Tl1 Tl 0.4702 0.1250 0.2500
Tl2 Tl 0.8750 0.7202 0.7500
Tl3 Tl 0.2798 0.6250 0.2500
Tl4 Tl 0.3750 0.5298 0.7500
Ni1 Ni 0.2500 0.7500 0.5000
Ni2 Ni 0.5000 0.5000 0.0000
# - M_tot: 0.00 μB per formula unit
# - ΔH_f (0 K): 148.1 meV per atom

***

Record 11
# SrTl4Ni, optimized geometry, DFT PBE-GGA
data_SrTl4Ni
_chemical_formula_sum 'Sr1 Tl4 Ni1'
_cell_length_a 6.3278
_cell_length_b 6.3278
_cell_length_c 6.3278
_cell_angle_alpha 60.00
_cell_angle_beta 60.00
_cell_angle_gamma 60.00
_symmetry_space_group_name_H-M 'P 1'
_symmetry_Int_Tables_number 1
_symmetry_space_group_name_Hall 'P 1'
loop_
_atom_site_label
_atom_site_type_symbol
_atom_site_fract_x
_atom_site_fract_y
_atom_site_fract_z
Sr1 Sr 0.0000 0.0000 0.0000
Tl1 Tl 0.3760 0.3760 0.3760
Tl2 Tl 0.8720 0.3760 0.3760
Tl3 Tl 0.3760 0.3760 0.8720
Tl4 Tl 0.3760 0.8720 0.3760
Ni1 Ni 0.7500 0.7500 0.7500
# - M_tot: 0.00 μB per formula unit
# - ΔH_f (0 K): 294.7 meV per atom

***

Record 12
# Sr2TlNi, optimized geometry, DFT PBE-GGA
data_Sr2TlNi
_chemical_formula_sum 'Sr2 Tl1 Ni1'
_cell_length_a 5.4204
_cell_length_b 5.4187
_cell_length_c 4.0227
_cell_angle_alpha 90.00
_cell_angle_beta 90.00
_cell_angle_gamma 90.00
_symmetry_space_group_name_H-M 'P 1'
_symmetry_Int_Tables_number 1
_symmetry_space_group_name_Hall 'P 1'
loop_
_atom_site_label
_atom_site_type_symbol
_atom_site_fract_x
_atom_site_fract_y
_atom_site_fract_z
Sr1 Sr 0.0000 0.0000 0.0000
Sr2 Sr 0.5000 0.5000 0.0000
Tl1 Tl 0.5000 0.0000 0.5000
Ni1 Ni 0.0000 0.5000 0.5000
# - M_tot: 0.00 μB per formula unit
# - ΔH_f (0 K): -18.3 meV per atom